A plane-wave DFT calculation with PBE-GGA was carried out for an optimized crystal structure of AcLuScSn.

* ΔH_f (0 K): -113 meV/atom

Unit cell a=5.399 b=5.399 c=5.399 alpha=60.00 beta=60.00 gamma=60.00
Fractional positions:
Lu1 0.000 0.000 0.000
Sn1 0.250 0.250 0.250
Sc1 0.500 0.500 0.500
Ac1 0.750 0.750 0.750

A plane-wave DFT calculation with PBE-GGA was carried out for an optimized crystal structure of AcLuScTl.

* ΔH_f (0 K): 105 meV/atom

Unit cell a=5.481 b=5.481 c=5.481 alpha=60.00 beta=60.00 gamma=60.00
Fractional positions:
Tl1 0.500 0.500 0.500
Sc1 0.750 0.750 0.750
Ac1 0.000 0.000 0.000
Lu1 0.250 0.250 0.250

A plane-wave DFT calculation with PBE-GGA was carried out for an optimized crystal structure of AcLuSe2.

* formation energy (no corrections): -167.76 kJ/mol of atoms

Unit cell a=4.073 b=4.073 c=7.812 alpha=74.89 beta=74.89 gamma=60.00
Fractional positions:
Lu1 0.500 0.500 0.500
Ac1 0.000 0.000 0.000
Se1 0.237 0.237 0.290
Se2 0.763 0.763 0.710

A plane-wave DFT calculation with PBE-GGA was carried out for an optimized crystal structure of AcLuSi2.

* formation energy (no corrections): -41.22 kJ/mol of atoms
* excess energy over the best structure of this formula in the dataset: 60 meV per atom

Unit cell a=4.630 b=4.630 c=6.317 alpha=68.50 beta=68.50 gamma=60.00
Fractional positions:
Si1 0.226 0.226 0.321
Si2 0.774 0.774 0.679
Lu1 0.500 0.500 0.500
Ac1 0.000 0.000 0.000

A plane-wave DFT calculation with PBE-GGA was carried out for an optimized crystal structure of Ac2LuSi.

* formation energy (no corrections): 21.51 kJ/mol of atoms

Unit cell a=3.874 b=3.874 c=11.712 alpha=80.48 beta=80.48 gamma=60.00
Fractional positions:
Ac1 0.106 0.106 0.683
Ac2 0.894 0.894 0.317
Lu1 0.000 0.000 0.000
Si1 0.500 0.500 0.500

A plane-wave DFT calculation with PBE-GGA was carried out for an optimized crystal structure of AcLuSi2.

* formation energy (no corrections): -47.00 kJ/mol of atoms
* excess energy over the best structure of this formula in the dataset: 0 meV per atom

Unit cell a=3.796 b=3.796 c=6.657 alpha=90.00 beta=90.00 gamma=90.00
Fractional positions:
Lu1 0.500 0.500 0.500
Si1 0.000 0.000 0.684
Si2 0.000 0.000 0.316
Ac1 0.500 0.500 0.000

A plane-wave DFT calculation with PBE-GGA was carried out for an optimized crystal structure of AcLuZnSi.

* formation energy (no corrections): -29.56 kJ/mol of atoms

Unit cell a=5.188 b=5.188 c=5.188 alpha=60.00 beta=60.00 gamma=60.00
Fractional positions:
Zn1 0.250 0.250 0.250
Si1 0.750 0.750 0.750
Ac1 0.500 0.500 0.500
Lu1 0.000 0.000 0.000

A plane-wave DFT calculation with PBE-GGA was carried out for an optimized crystal structure of AcSm2Lu.

* excess energy over the best structure of this formula in the dataset: 10 meV per atom
* ΔH_f (0 K): 57 meV/atom

Unit cell a=3.701 b=3.701 c=10.301 alpha=90.00 beta=90.00 gamma=90.00
Fractional positions:
Lu1 0.500 0.500 0.000
Sm1 0.000 0.000 0.767
Sm2 0.000 0.000 0.233
Ac1 0.500 0.500 0.500

A plane-wave DFT calculation with PBE-GGA was carried out for an optimized crystal structure of AcSm2Lu.

* excess energy over the best structure of this formula in the dataset: 130 meV per atom
* ΔH_f (0 K): 177 meV/atom

Unit cell a=5.857 b=5.857 c=5.857 alpha=60.00 beta=60.00 gamma=60.00
Fractional positions:
Sm1 0.750 0.750 0.750
Sm2 0.250 0.250 0.250
Ac1 0.000 0.000 0.000
Lu1 0.500 0.500 0.500

A plane-wave DFT calculation with PBE-GGA was carried out for an optimized crystal structure of Ac2SmLu.

* excess energy over the best structure of this formula in the dataset: 0 meV per atom
* ΔH_f (0 K): 50 meV/atom

Unit cell a=5.149 b=5.410 c=5.410 alpha=90.00 beta=90.00 gamma=90.00
Fractional positions:
Lu1 0.500 0.500 0.500
Ac1 0.000 0.500 0.000
Ac2 0.000 0.000 0.500
Sm1 0.500 0.000 0.000

A plane-wave DFT calculation with PBE-GGA was carried out for an optimized crystal structure of AcSm2Lu.

* excess energy over the best structure of this formula in the dataset: 128 meV per atom
* ΔH_f (0 K): 176 meV/atom

Unit cell a=3.603 b=3.603 c=12.907 alpha=81.98 beta=81.98 gamma=60.00
Fractional positions:
Lu1 0.500 0.500 0.500
Sm1 0.093 0.093 0.720
Sm2 0.907 0.907 0.280
Ac1 0.000 0.000 0.000

A plane-wave DFT calculation with PBE-GGA was carried out for an optimized crystal structure of Ac2SmLu.

* excess energy over the best structure of this formula in the dataset: 4 meV per atom
* ΔH_f (0 K): 53 meV/atom

Unit cell a=3.892 b=3.892 c=9.955 alpha=90.00 beta=90.00 gamma=90.00
Fractional positions:
Sm1 0.500 0.500 0.500
Ac1 0.000 0.000 0.243
Ac2 0.000 0.000 0.757
Lu1 0.500 0.500 0.000

In eV per atom, the raw total energy values for the records above are, in order, -4.854 -4.227 -5.638 -5.296 -4.317 -5.356 -4.138 -4.460 -4.340 -4.315 -4.341 -4.311.